(1)
PBE AcPrCoPt, relaxed; raw total energy = -5.906 eV per atom; volume = 24.2 A^3/atom; DOS at the Fermi energy = 2.076 states/eV/cell
1.0
0.000 3.642 3.642
3.642 0.000 3.642
3.642 3.642 0.000
Ac Pr Co Pt
1 1 1 1
direct
0.000 0.000 0.000 Ac
0.500 0.500 0.500 Pr
0.750 0.750 0.750 Co
0.250 0.250 0.250 Pt

---

(2)
PBE AcPrCoRu, relaxed; raw total energy = -6.207 eV per atom; volume = 23.4 A^3/atom; DOS at the Fermi energy = 4.215 states/eV/cell
1.0
0.000 3.606 3.606
3.606 0.000 3.606
3.606 3.606 0.000
Ac Pr Co Ru
1 1 1 1
direct
0.000 0.000 0.000 Ac
0.500 0.500 0.500 Pr
0.250 0.250 0.250 Co
0.750 0.750 0.750 Ru

---

(3)
PBE AcPrSmCo, relaxed; raw total energy = -5.076 eV per atom; volume = 32.1 A^3/atom; DOS at the Fermi energy = 4.349 states/eV/cell
1.0
3.368 -1.949 0.000
3.368 1.949 0.000
0.000 0.000 9.781
Ac Pr Sm Co
1 1 1 1
direct
0.000 0.000 0.000 Ac
0.665 0.665 0.668 Pr
0.665 0.665 0.323 Sm
0.999 0.999 0.493 Co

---

(4)
PBE SrAc2PrCo, relaxed; raw total energy = -4.332 eV per atom; volume = 38.4 A^3/atom; DOS at the Fermi energy = 6.319 states/eV/cell
1.0
5.806 0.000 0.000
0.000 5.806 0.000
0.000 0.000 5.692
Sr Ac Pr Co
1 2 1 1
direct
0.000 0.000 0.000 Sr
0.000 0.500 0.500 Ac
0.500 0.000 0.500 Ac
0.500 0.500 0.000 Pr
0.500 0.500 0.500 Co

---

(5)
PBE Ac3Pr3Tl2Co, relaxed; raw total energy = -4.464 eV per atom; volume = 32.3 A^3/atom; DOS at the Fermi energy = 11.305 states/eV/cell
1.0
9.169 0.000 0.000
-4.584 7.940 0.000
0.000 0.000 3.988
Ac Pr Tl Co
3 3 2 1
direct
0.000 0.765 0.000 Ac
0.235 0.235 0.000 Ac
0.765 0.000 0.000 Ac
0.000 0.406 0.500 Pr
0.406 0.000 0.500 Pr
0.594 0.594 0.500 Pr
0.333 0.667 0.000 Tl
0.667 0.333 0.000 Tl
0.000 0.000 0.500 Co

---

(6)
PBE Ac8Co3Pt, relaxed; raw total energy = -5.255 eV per atom; volume = 36.1 A^3/atom; DOS at the Fermi energy = 10.146 states/eV/cell
1.0
7.148 -4.324 0.000
7.148 4.324 0.000
-4.488 0.000 7.005
Ac Co Pt
8 3 1
direct
0.228 0.750 0.749 Ac
0.244 0.244 0.255 Ac
0.250 0.250 0.729 Ac
0.250 0.772 0.251 Ac
0.750 0.228 0.749 Ac
0.750 0.750 0.271 Ac
0.756 0.756 0.745 Ac
0.772 0.250 0.251 Ac
0.000 0.000 0.000 Co
0.000 0.500 0.500 Co
0.500 0.000 0.500 Co
0.500 0.500 0.000 Pt

---

(7)
PBE Ac6CoPt3, relaxed; raw total energy = -5.709 eV per atom; volume = 32.7 A^3/atom; DOS at the Fermi energy = 11.601 states/eV/cell
1.0
7.289 0.000 0.000
0.000 7.995 0.000
-7.109 0.000 11.205
Ac Co Pt
12 2 6
direct
0.093 0.190 0.422 Ac
0.093 0.310 0.922 Ac
0.237 0.676 0.423 Ac
0.237 0.824 0.923 Ac
0.402 0.055 0.244 Ac
0.402 0.445 0.744 Ac
0.598 0.555 0.256 Ac
0.598 0.945 0.756 Ac
0.763 0.176 0.077 Ac
0.763 0.324 0.577 Ac
0.907 0.690 0.078 Ac
0.907 0.810 0.578 Ac
0.000 0.000 0.000 Co
0.000 0.500 0.500 Co
0.192 0.108 0.744 Pt
0.192 0.392 0.244 Pt
0.500 0.000 0.500 Pt
0.500 0.500 0.000 Pt
0.808 0.608 0.756 Pt
0.808 0.892 0.256 Pt

---

(8)
PBE Ac8CoPt2, relaxed; raw total energy = -5.181 eV per atom; volume = 36.7 A^3/atom; DOS at the Fermi energy = 11.436 states/eV/cell
1.0
10.078 -2.078 0.000
10.078 2.078 0.000
-0.540 0.000 9.648
Ac Co Pt
8 1 2
direct
0.009 0.009 0.198 Ac
0.227 0.227 0.329 Ac
0.351 0.351 0.029 Ac
0.404 0.404 0.465 Ac
0.596 0.596 0.535 Ac
0.649 0.649 0.971 Ac
0.773 0.773 0.671 Ac
0.991 0.991 0.802 Ac
0.500 0.500 0.000 Co
0.162 0.162 0.734 Pt
0.838 0.838 0.266 Pt

---

(9)
PBE Ac12Co5Pt, relaxed; raw total energy = -5.204 eV per atom; volume = 36.2 A^3/atom; DOS at the Fermi energy = 17.768 states/eV/cell
1.0
3.664 -6.475 0.000
3.664 6.475 0.000
-0.051 0.000 13.735
Ac Co Pt
12 5 1
direct
0.002 0.669 0.610 Ac
0.150 0.150 0.115 Ac
0.153 0.501 0.886 Ac
0.331 0.998 0.390 Ac
0.336 0.336 0.612 Ac
0.499 0.847 0.114 Ac
0.501 0.153 0.886 Ac
0.664 0.664 0.388 Ac
0.669 0.002 0.610 Ac
0.847 0.499 0.114 Ac
0.850 0.850 0.885 Ac
0.998 0.331 0.390 Ac
0.000 0.000 0.500 Co
0.166 0.834 0.000 Co
0.334 0.666 0.500 Co
0.666 0.334 0.500 Co
0.834 0.166 0.000 Co
0.500 0.500 0.000 Pt

---

(10)
PBE Ac4Co2Pt, relaxed; raw total energy = -5.504 eV per atom; volume = 32.2 A^3/atom; DOS at the Fermi energy = 5.059 states/eV/cell
1.0
6.864 0.000 0.000
0.000 4.386 0.000
-1.605 0.000 7.485
Ac Co Pt
4 2 1
direct
0.077 0.000 0.246 Ac
0.410 0.500 0.755 Ac
0.590 0.500 0.245 Ac
0.923 0.000 0.754 Ac
0.336 0.000 0.998 Co
0.664 0.000 0.002 Co
0.000 0.500 0.500 Pt

---

(11)
PBE Ac8CoPt4, relaxed; raw total energy = -5.669 eV per atom; volume = 35.6 A^3/atom; DOS at the Fermi energy = 9.860 states/eV/cell
1.0
4.394 2.537 6.926
-4.394 2.537 6.926
0.000 -5.074 6.926
Ac Co Pt
8 1 4
direct
0.238 0.755 0.755 Ac
0.245 0.245 0.245 Ac
0.245 0.245 0.762 Ac
0.245 0.762 0.245 Ac
0.755 0.238 0.755 Ac
0.755 0.755 0.238 Ac
0.755 0.755 0.755 Ac
0.762 0.245 0.245 Ac
0.000 0.000 0.000 Co
0.000 0.000 0.500 Pt
0.000 0.500 0.000 Pt
0.500 0.000 0.000 Pt
0.500 0.500 0.500 Pt

---

(12)
PBE Ac16Co5Pt3, relaxed; raw total energy = -5.289 eV per atom; volume = 36.6 A^3/atom; DOS at the Fermi energy = 23.836 states/eV/cell
1.0
7.464 -4.267 0.000
7.464 4.267 0.000
-0.064 0.000 13.788
Ac Co Pt
16 5 3
direct
0.000 0.000 0.000 Ac
0.002 0.002 0.504 Ac
0.036 0.508 0.489 Ac
0.164 0.677 0.237 Ac
0.177 0.177 0.247 Ac
0.341 0.832 0.737 Ac
0.351 0.351 0.728 Ac
0.497 0.497 0.488 Ac
0.508 0.036 0.489 Ac
0.522 0.522 0.984 Ac
0.528 0.983 0.984 Ac
0.677 0.164 0.237 Ac
0.687 0.687 0.233 Ac
0.832 0.341 0.737 Ac
0.844 0.844 0.733 Ac
0.983 0.528 0.984 Ac
0.178 0.675 0.614 Co
0.342 0.342 0.354 Co
0.673 0.673 0.853 Co
0.675 0.178 0.614 Co
0.841 0.841 0.111 Co
0.176 0.176 0.618 Pt
0.342 0.845 0.118 Pt
0.845 0.342 0.118 Pt